The following is a PBE-GGA calculation of a relaxed Na2VCo crystal, from the Alexandria database.

The value obtained for the theoretical density is 2.277 g/cm³. For the calculated total energy, the calculation gives -3.67 eV/atom. As for the excess energy over the best structure of this formula in the dataset: 0.000 eV per atom. The calculation puts the formation energy at 1.0493 eV/atom. The calculation puts the density of states at the Fermi level at 5.61 states/eV/f.u. For the total moment, the calculation gives 6.80 μB per cell.

The space group is I-42d (No. 122) and the conventional cell measures 10.3137, 10.3137 and 4.2742 Å, with angles of 90.00, 90.00 and 90.00 degrees. Symmetry generates all atoms from Na at (0.1126, 0.2500, 0.1250), V at (0.0000, 0.0000, 0.5000) and Co at (0.0000, 0.0000, 0.0000).

***

The following is a PBE-GGA calculation of a relaxed NaVCo3 crystal, from the Alexandria database.

The value obtained for the theoretical density is 5.166 g/cm³. For the calculated total energy, the calculation gives -5.36 eV/atom. As for the excess energy over the best structure of this formula in the dataset: 0.000 eV per atom. The calculation puts the formation energy at 0.9886 eV/atom. The calculation puts the density of states at the Fermi level at 6.38 states/eV/f.u. For the total moment, the calculation gives 1.02 μB per cell.

The space group is Pm-3m (No. 221) and the conventional cell measures 4.3196, 4.3196 and 4.3196 Å, with angles of 90.00, 90.00 and 90.00 degrees. Symmetry generates all atoms from Na at (0.0000, 0.0000, 0.0000), V at (0.5000, 0.5000, 0.5000) and Co at (0.0000, 0.5000, 0.5000).

***

The following is a PBE-GGA calculation of a relaxed NaVCo2 crystal, from the Alexandria database.

The value obtained for the theoretical density is 6.242 g/cm³. For the calculated total energy, the calculation gives -5.56 eV/atom. As for the excess energy over the best structure of this formula in the dataset: 0.000 eV per atom. The calculation puts the formation energy at 0.5978 eV/atom. The calculation puts the density of states at the Fermi level at 1.63 states/eV/f.u. For the total moment, the calculation gives 0.00 μB per cell.

The space group is Fm-3m (No. 225) and the conventional cell measures 5.8875, 5.8875 and 5.8875 Å, with angles of 90.00, 90.00 and 90.00 degrees. Symmetry generates all atoms from Na at (0.0000, 0.0000, 0.0000), V at (0.0000, 0.0000, 0.5000) and Co at (0.2500, 0.2500, 0.2500).

***

The following is a PBE-GGA calculation of a relaxed Na2VCo crystal, from the Alexandria database.

The value obtained for the theoretical density is 3.171 g/cm³. For the calculated total energy, the calculation gives -3.40 eV/atom. As for the excess energy over the best structure of this formula in the dataset: 0.262 eV per atom. The calculation puts the formation energy at 1.3109 eV/atom. The calculation puts the density of states at the Fermi level at 11.32 states/eV/f.u. For the total moment, the calculation gives 20.51 μB per cell.

The space group is Fm-3m (No. 225) and the conventional cell measures 6.8859, 6.8859 and 6.8859 Å, with angles of 90.00, 90.00 and 90.00 degrees. Symmetry generates all atoms from Na at (0.2500, 0.2500, 0.2500), V at (0.0000, 0.0000, 0.0000) and Co at (0.0000, 0.0000, 0.5000).

***

The following is a PBE-GGA calculation of a relaxed Na3CoW crystal, from the Alexandria database.

The value obtained for the theoretical density is 3.842 g/cm³. For the calculated total energy, the calculation gives -2.58 eV/atom. The calculation puts the formation energy at 2.2233 eV/atom. The calculation puts the density of states at the Fermi level at 28.91 states/eV/f.u. For the total moment, the calculation gives 0.10 μB per cell.

The space group is Pm-3m (No. 221) and the conventional cell measures 5.1267, 5.1267 and 5.1267 Å, with angles of 90.00, 90.00 and 90.00 degrees. Symmetry generates all atoms from Na at (0.0000, 0.0000, 0.5000), Co at (0.0000, 0.0000, 0.0000) and W at (0.5000, 0.5000, 0.5000).

***

The following is a PBE-GGA calculation of a relaxed Na2CoW crystal, from the Alexandria database.

The value obtained for the theoretical density is 6.125 g/cm³. For the calculated total energy, the calculation gives -3.80 eV/atom. As for the excess energy over the best structure of this formula in the dataset: 0.293 eV per atom. The calculation puts the formation energy at 1.8770 eV/atom. The calculation puts the density of states at the Fermi level at 8.00 states/eV/f.u. For the total moment, the calculation gives 19.70 μB per cell.

The space group is Fm-3m (No. 225) and the conventional cell measures 6.7905, 6.7905 and 6.7905 Å, with angles of 90.00, 90.00 and 90.00 degrees. Symmetry generates all atoms from Na at (0.2500, 0.2500, 0.2500), Co at (0.0000, 0.0000, 0.0000) and W at (0.0000, 0.0000, 0.5000).

***

The following is a PBE-GGA calculation of a relaxed NaCoW3 crystal, from the Alexandria database.

The value obtained for the theoretical density is 12.090 g/cm³. For the calculated total energy, the calculation gives -6.24 eV/atom. As for the excess energy over the best structure of this formula in the dataset: 1.575 eV per atom. The calculation puts the formation energy at 3.2157 eV/atom. The calculation puts the density of states at the Fermi level at 5.96 states/eV/f.u. For the total moment, the calculation gives 0.00 μB per cell.

The space group is Pm-3m (No. 221) and the conventional cell measures 4.4311, 4.4311 and 4.4311 Å, with angles of 90.00, 90.00 and 90.00 degrees. Symmetry generates all atoms from Na at (0.0000, 0.0000, 0.0000), Co at (0.5000, 0.5000, 0.5000) and W at (0.0000, 0.0000, 0.5000).

***

The following is a PBE-GGA calculation of a relaxed NaCoW3 crystal, from the Alexandria database.

The value obtained for the theoretical density is 11.179 g/cm³. For the calculated total energy, the calculation gives -7.82 eV/atom. As for the excess energy over the best structure of this formula in the dataset: 0.000 eV per atom. The calculation puts the formation energy at 1.6409 eV/atom. The calculation puts the density of states at the Fermi level at 5.17 states/eV/f.u. For the total moment, the calculation gives 0.00 μB per cell.

The space group is Pm-3m (No. 221) and the conventional cell measures 4.5484, 4.5484 and 4.5484 Å, with angles of 90.00, 90.00 and 90.00 degrees. Symmetry generates all atoms from Na at (0.0000, 0.0000, 0.0000), Co at (0.5000, 0.5000, 0.5000) and W at (0.0000, 0.5000, 0.5000).